Tm3ThTl3Te8 | PBE-GGA | optimized geometry

abc: 9.6824 9.6824 9.6824
angles: 54.14 54.14 54.14
Atoms (fractional coordinates):
Tm 0.0000 0.5000 0.5000
Tm 0.5000 0.0000 0.5000
Tm 0.5000 0.5000 0.0000
Th 0.0000 0.0000 0.0000
Tl 0.0000 0.0000 0.5000
Tl 0.0000 0.5000 0.0000
Tl 0.5000 0.0000 0.0000
Te 0.2424 0.2424 0.7292
Te 0.2424 0.7292 0.2424
Te 0.2634 0.2634 0.2634
Te 0.2708 0.7576 0.7576
Te 0.7292 0.2424 0.2424
Te 0.7366 0.7366 0.7366
Te 0.7576 0.2708 0.7576
Te 0.7576 0.7576 0.2708

ΔE_f (raw) (eV per atom): -1.06